1.
Below is ScAl2ZnBr after structural relaxation, with properties calculated at the PBE level.

abc: 5.611 5.611 5.356
angles: 90.00 90.00 90.00
Space group P4/mmm (No. 123)
Unique sites:
Sc 0.000 0.000 0.000 x1
Al 0.000 0.500 0.000 x2
Zn 0.000 0.000 0.500 x1
Br 0.500 0.500 0.500 x1

Values from the calculation:
The formation energy from raw total energies is 714 meV/atom. For the total energy, the calculation gives -13.2 eV per formula unit. The magnetization is 0.2792 μB per atom.



2.
Below is Al2SeBr after structural relaxation, with properties calculated at the PBE level.

abc: 3.889 3.889 13.592
angles: 90.00 90.00 90.00
Space group I-4m2 (No. 119)
Unique sites:
Al 0.000 0.000 0.000 x2
Al 0.000 0.500 0.250 x2
Se 0.000 0.000 0.500 x2
Br 0.000 0.500 0.750 x2

Values from the calculation:
The formation energy from raw total energies is -22 meV/atom. Its polymorph energy (0 for the lowest one) is 11.72 kcal/mol of atoms. For the total energy, the calculation gives -12.7 eV per formula unit. The magnetization is 0.0000 μB per atom.



3.
Below is AlSeBr3 after structural relaxation, with properties calculated at the PBE level.

abc: 5.154 5.154 5.154
angles: 90.00 90.00 90.00
Space group Pm-3m (No. 221)
Unique sites:
Al 0.000 0.000 0.000 x1
Se 0.500 0.500 0.500 x1
Br 0.000 0.000 0.500 x3

Values from the calculation:
The formation energy from raw total energies is -117 meV/atom. Its polymorph energy (0 for the lowest one) is 0.00 kcal/mol of atoms. For the total energy, the calculation gives -12.8 eV per formula unit. The magnetization is 0.4523 μB per atom.



4.
Below is Al2SeBr after structural relaxation, with properties calculated at the PBE level.

abc: 3.485 7.800 9.127
angles: 90.00 90.00 90.00
Space group Imm2 (No. 44)
Unique sites:
Al 0.000 0.000 0.000 x2
Al 0.000 0.500 0.260 x2
Se 0.000 0.500 0.674 x2
Br 0.000 0.000 0.556 x2

Values from the calculation:
The formation energy from raw total energies is -221 meV/atom. Its polymorph energy (0 for the lowest one) is 7.13 kcal/mol of atoms. For the total energy, the calculation gives -13.5 eV per formula unit. The magnetization is 0.0000 μB per atom.